[1]
YCuP2O | GGA-PBE | relaxed

Lattice parameters (Å, degrees): 5.432 5.432 4.120 90.00 90.00 90.00
Fractional coordinates of all 5 atoms:
Y 0.000 0.000 0.000
Cu 0.500 0.500 0.500
P 0.000 0.500 0.000
P 0.500 0.000 0.000
O 0.000 0.000 0.500

Output
The calculation puts the distance to the lowest polymorph of the same formula at 636 meV per atom. Its formation energy (no corrections) is 0.291 eV per atom. The value obtained for the magnetic moment is 0.0001 μB/atom. As for the space-group type: P4/mmm, No. 123.

[2]
YCuP2O | GGA-PBE | relaxed

Lattice parameters (Å, degrees): 4.594 4.594 3.875 90.00 90.00 90.00
Fractional coordinates of all 5 atoms:
Y 0.000 0.000 0.000
Cu 0.500 0.500 0.500
P 0.000 0.500 0.500
P 0.500 0.000 0.500
O 0.500 0.500 0.000

Output
The calculation puts the distance to the lowest polymorph of the same formula at 0 meV per atom. Its formation energy (no corrections) is -0.345 eV per atom. The value obtained for the magnetic moment is 0.0000 μB/atom. As for the space-group type: P4/mmm, No. 123.

[3]
YCuPO2 | GGA-PBE | relaxed

Lattice parameters (Å, degrees): 3.972 3.972 4.397 90.00 90.00 90.00
Fractional coordinates of all 5 atoms:
Y 0.000 0.000 0.000
Cu 0.500 0.500 0.500
P 0.500 0.500 0.000
O 0.000 0.500 0.500
O 0.500 0.000 0.500

Output
The calculation puts the distance to the lowest polymorph of the same formula at 0 meV per atom. Its formation energy (no corrections) is -0.825 eV per atom. The value obtained for the magnetic moment is 0.0000 μB/atom. As for the space-group type: P4/mmm, No. 123.